Below is a relaxed Pm8Sm2Er crystal, with properties calculated at the GGA-PBE level.

M_tot (μB per formula unit): 0.00
SG: No. 12
Energy relative to the elements (eV per atom): 0.0147

Lattice parameters (Å, degrees): 9.601 9.601 8.128 104.70 104.70 31.04
Positions (direct):
Pm1 0.046 0.046 0.229
Pm2 0.136 0.136 0.681
Pm3 0.319 0.319 0.590
Pm4 0.409 0.409 0.048
Pm5 0.591 0.591 0.952
Pm6 0.681 0.681 0.410
Pm7 0.864 0.864 0.319
Pm8 0.954 0.954 0.771
Sm1 0.227 0.227 0.136
Sm2 0.773 0.773 0.864
Er1 0.500 0.500 0.500